No. 1
Entry from Alexandria via LeMat-Bulk: a relaxed Cs3BrCl2 crystal (PBE).

## Properties
The total energy is -3.226 eV per atom. The value obtained for the raw formation energy is -11.43 eV per formula unit. As for the space-group type: No. 71.

Unit cell a=5.054 b=7.178 c=8.805 alpha=114.05 beta=106.68 gamma=90.00
Each line ends with the local moment (μB).
Fractional coordinates of all 6 atoms:
1 Cs 0.676 0.676 0.352  0.00
2 Cs 0.000 0.000 0.000  0.00
3 Cs 0.324 0.324 0.648  0.00
4 Br 0.000 0.500 0.000  0.05
5 Cl 0.665 0.165 0.330  0.02
6 Cl 0.335 0.835 0.670  0.02


No. 2
Entry from Alexandria via LeMat-Bulk: a relaxed LiZrO2 crystal (PBE).

## Properties
The total energy is -7.273 eV per atom. The value obtained for the raw formation energy is -8.71 eV per formula unit. As for the space-group type: No. 123.

Unit cell a=2.766 b=2.766 c=5.612 alpha=90.00 beta=90.00 gamma=90.00
Each line ends with the local moment (μB).
Fractional coordinates of all 4 atoms:
1 Zr 0.500 0.500 0.500  0.09
2 O 0.000 0.000 0.727  0.00
3 O 0.000 0.000 0.273  0.00
4 Li 0.500 0.500 0.000  0.00


No. 3
Entry from Alexandria via LeMat-Bulk: a relaxed CaBeSn2 crystal (PBE).

## Properties
The total energy is -3.396 eV per atom. The calculation puts the energy of formation at 4 kJ per mole of atoms. As for the space-group type: No. 122.

Unit cell a=5.169 b=5.169 c=9.141 alpha=73.58 beta=73.58 gamma=90.00
Fractional coordinates of all 8 atoms:
1 Be 0.500 0.500 0.000
2 Be 0.250 0.750 0.500
3 Sn 0.375 0.482 0.750
4 Sn 0.232 0.625 0.250
5 Sn 0.875 0.768 0.750
6 Sn 0.518 0.125 0.250
7 Ca 0.000 0.000 0.000
8 Ca 0.750 0.250 0.500


No. 4
Entry from Alexandria via LeMat-Bulk: a relaxed Si3Pt crystal (PBE).

## Properties
The total energy is -5.611 eV per atom. The value obtained for the raw formation energy is -0.13 eV per formula unit. As for the space-group type: No. 10.

Unit cell a=3.234 b=4.537 c=4.747 alpha=66.28 beta=90.00 gamma=90.00
Fractional coordinates of all 4 atoms:
1 Si 0.500 0.244 0.239
2 Si 0.000 0.500 0.500
3 Si 0.500 0.756 0.761
4 Pt 0.000 0.000 0.000